# 1
An optimized crystal structure of Li3Ca2Tl4, computed with PBE.

POSCAR file:
```
Li3Ca2Tl4
1.0
6.357 0.000 0.000
0.000 8.499 0.000
-3.178 0.000 8.322
Li Ca Tl
6 4 8
direct
0.000 0.000 0.000 Li
0.500 0.500 0.000 Li
0.521 0.750 0.542 Li
0.979 0.250 0.458 Li
0.479 0.250 0.458 Li
0.021 0.750 0.542 Li
0.109 0.590 0.217 Ca
0.891 0.410 0.783 Ca
0.391 0.090 0.783 Ca
0.609 0.910 0.217 Ca
0.692 0.750 0.884 Tl
0.808 0.250 0.116 Tl
0.308 0.250 0.116 Tl
0.192 0.750 0.884 Tl
0.178 0.972 0.357 Tl
0.822 0.028 0.643 Tl
0.322 0.472 0.643 Tl
0.678 0.528 0.357 Tl
```

Calculated values
Final energy in eV/atom: -2.4144


# 2
An optimized crystal structure of Ca2ZrIn2, computed with PBE.

POSCAR file:
```
Ca2ZrIn2
1.0
9.117 0.000 0.000
0.000 9.117 0.000
0.000 0.000 3.312
Ca Zr In
4 2 4
direct
0.374 0.874 0.000 Ca
0.874 0.626 0.000 Ca
0.626 0.126 0.000 Ca
0.126 0.374 0.000 Ca
0.000 0.000 0.000 Zr
0.500 0.500 0.000 Zr
0.174 0.674 0.500 In
0.674 0.826 0.500 In
0.826 0.326 0.500 In
0.326 0.174 0.500 In
```

Calculated values
Final energy in eV/atom: -3.5643


Question: Which formula does entry 2 have?
Answer: Ca2ZrIn2


Question: The highest final energy belongs to which entry?
Answer: Li3Ca2Tl4


Question: Which formula does entry 1 have?
Answer: Li3Ca2Tl4


Question: What is the final energy in the first record?
Answer: -2.4144 eV/atom